# 1
Na2AlIr2Se6 (PBE-GGA, relaxed); raw formation energy = -0.64 eV/atom
1.0
-6.021 1.177 2.251
4.731 -2.061 4.009
2.221 6.906 -0.861
Ir Se Al Na
2 6 1 2
direct
0.666 0.334 0.500
0.334 0.666 0.500
0.409 0.062 0.691
0.591 0.938 0.309
0.938 0.591 0.309
0.722 0.722 0.691
0.278 0.278 0.309
0.062 0.409 0.691
0.000 0.000 0.500
0.836 0.164 0.000
0.164 0.836 0.000

=====

# 2
LaYAs (PBE-GGA, relaxed); calculated formation energy = -823 meV/atom
1.0
4.974 0.000 0.000
2.487 4.308 0.000
2.487 1.436 4.062
As La Y
1 1 1
direct
0.750 0.750 0.750
0.000 0.000 0.000
0.500 0.500 0.500

=====

# 3
TbDyZnIr (PBE-GGA, relaxed); calculated formation energy = -624 meV/atom
1.0
-3.308 -1.726 -3.234
1.518 -2.067 -4.219
-0.482 -4.867 -0.678
Ir Tb Zn Dy
1 1 1 1
direct
0.500 0.500 0.500
0.750 0.750 0.750
0.000 0.000 0.000
0.250 0.250 0.250

=====

Computed theoretical density, in the same sequence as the records: 6.06, 5.78, 11.29 g/cm³.
Computed E_tot, in the same sequence as the records: -52.00, -18.51, -21.87 eV for the cell shown.